Entry 1:
This record from Alexandria describes an optimized crystal structure of Zn4Pd3. The functional is PBE.

Summary:
As for the formation energy from the elements: -0.420 eV per atom. Its density of states at the Fermi level is 3.22 states/eV/f.u. For the final energy, the calculation gives -3.3735 eV per atom.

abc: 4.3099 4.3099 20.5820
angles: 90.00 90.00 120.00
Space group R-3m (No. 166, hexagonal axes)
One atom of each set of equivalent atoms:
1 Zn 0.0000 0.0000 0.1165 x6
2 Zn 0.0000 0.0000 0.3706 x6
3 Pd 0.0000 0.0000 0.2464 x6
4 Pd 0.0000 0.0000 0.5000 x3

---

Entry 2:
This record from Alexandria describes an optimized crystal structure of Sr3Au5. The functional is PBE.

Summary:
As for the formation energy from the elements: -0.622 eV per atom. Its density of states at the Fermi level is 2.32 states/eV/f.u. For the final energy, the calculation gives -3.3015 eV per atom.

abc: 7.724 10.260 5.350
angles: 90.00 90.00 90.00
Space group Cmmm (No. 65)
One atom of each set of equivalent atoms:
1 Sr 0.000 0.000 0.000 x2
2 Sr 0.000 0.300 0.500 x4
3 Au 0.000 0.500 0.000 x2
4 Au 0.194 0.000 0.500 x4
5 Au 0.250 0.250 0.000 x4

---

Entry 3:
This record from Alexandria describes an optimized crystal structure of SbAuCl2. The functional is PBE.

Summary:
The calculation puts the uncorrected formation energy at -0.407 eV per atom. For the final energy, the calculation gives -3.1803 eV per atom.

abc: 5.238 13.596 3.863
angles: 90.00 90.00 90.00
Space group Cmmm (No. 65)
One atom of each set of equivalent atoms:
1 Sb 0.000 0.000 0.000 x2
2 Au 0.000 0.500 0.000 x2
3 Cl 0.000 0.138 0.500 x4

---

Entry 4:
This record from Alexandria describes an optimized crystal structure of Zr2CuHg. The functional is PBE.

Summary:
As for the formation energy from the elements: -0.119 eV per atom. Its density of states at the Fermi level is 5.55 states/eV/f.u. For the final energy, the calculation gives -5.4926 eV per atom.

abc: 3.154 3.154 7.902
angles: 90.00 90.00 90.00
Space group P4/mmm (No. 123)
One atom of each set of equivalent atoms:
1 Zr 0.000 0.000 0.224 x2
2 Cu 0.500 0.500 0.000 x1
3 Hg 0.500 0.500 0.500 x1

---

Entry 5:
This record from Alexandria describes an optimized crystal structure of RuRhO2F. The functional is PBE.

Summary:
The calculation puts the uncorrected formation energy at -0.108 eV per atom. Its density of states at the Fermi level is 7.59 states/eV/f.u. For the final energy, the calculation gives -5.7913 eV per atom.

abc: 3.818 3.818 4.301
angles: 90.00 90.00 90.00
Space group P4/mmm (No. 123)
One atom of each set of equivalent atoms:
1 Ru 0.000 0.000 0.000 x1
2 Rh 0.500 0.500 0.500 x1
3 O 0.000 0.500 0.000 x2
4 F 0.000 0.000 0.500 x1

---

Entry 6:
This record from Alexandria describes an optimized crystal structure of PtRhAu2. The functional is PBE.

Summary:
As for the formation energy from the elements: 0.162 eV per atom. Its density of states at the Fermi level is 4.85 states/eV/f.u. For the final energy, the calculation gives -4.8247 eV per atom.

abc: 2.831 4.856 9.699
angles: 90.00 90.00 90.00
Space group Imm2 (No. 44)
One atom of each set of equivalent atoms:
1 Pt 0.000 0.000 0.000 x2
2 Rh 0.000 0.500 0.268 x2
3 Au 0.000 0.000 0.516 x2
4 Au 0.000 0.500 0.754 x2